[1]
ZrZnCl2 after structural relaxation, computed with GGA-PBE.

a b c (Å): 10.441 10.441 10.441
angles (deg): 18.00 18.00 18.00
Element x y z (fractional)
Zr  0.000  0.000  0.000
Zn  0.500  0.500  0.500
Cl  0.393  0.393  0.393
Cl  0.607  0.607  0.607

Results
Total DFT energy (no corrections): -4.3269 eV/atom
Total magnetization: 0.00 Bohr magnetons per cell


[2]
ZrZnCl2 after structural relaxation, computed with GGA-PBE.

a b c (Å): 6.755 6.755 6.755
angles (deg): 100.50 100.50 129.46
Element x y z (fractional)
Zr  0.000  0.000  0.000
Zr  0.750  0.250  0.500
Zn  0.250  0.750  0.500
Zn  0.500  0.500  0.000
Cl  0.006  0.125  0.381
Cl  0.375  0.994  0.119
Cl  0.744  0.625  0.619
Cl  0.875  0.256  0.881

Results
Total DFT energy (no corrections): -3.9945 eV/atom
Total magnetization: 2.23 Bohr magnetons per cell


[3]
ZrZn2Cl after structural relaxation, computed with GGA-PBE.

a b c (Å): 8.747 8.747 8.747
angles (deg): 21.37 21.37 21.37
Element x y z (fractional)
Zr  0.000  0.000  0.000
Zn  0.244  0.244  0.244
Zn  0.756  0.756  0.756
Cl  0.500  0.500  0.500

Results
Total DFT energy (no corrections): -3.4673 eV/atom
Total magnetization: 0.00 Bohr magnetons per cell


[4]
ZrZn2Cl after structural relaxation, computed with GGA-PBE.

a b c (Å): 6.149 6.149 6.149
angles (deg): 100.10 100.10 130.48
Element x y z (fractional)
Zr  0.000  0.000  0.000
Zr  0.750  0.250  0.500
Zn  0.123  0.625  0.998
Zn  0.375  0.373  0.498
Zn  0.627  0.125  0.002
Zn  0.875  0.877  0.502
Cl  0.250  0.750  0.500
Cl  0.500  0.500  0.000

Results
Total DFT energy (no corrections): -3.2762 eV/atom
Total magnetization: 0.00 Bohr magnetons per cell